VASP calculation (PBE) on a geometry-optimized MgNpIn structure.

It has space group P-6m2 (No. 187), with a = 5.1860 Å, b = 5.1860 Å, c = 3.0579 Å, α = 90.00°, β = 90.00° and γ = 120.00°. The distinct sites, in fractional coordinates, are Mg at (0.0000, 0.0000, 0.0000), Np at (0.3333, 0.6667, 0.5000) and In at (0.6667, 0.3333, 0.0000).

The calculation puts the density of states at the Fermi level at 2.106 states/eV/atom. Its formation energy is 0.14 eV/atom. The calculation puts the volume at 23.74 A^3/atom. For the total energy, the calculation gives -16.862 eV/f.u.